Pm4SmCu: optimized geometry, PBE.

## Properties
- DOS(E_F): 8.2 states/eV/cell
- ΔH_f (0 K): -0.033 eV per atom

POSCAR file:
```
Pm4SmCu
1.0
3.625 0.000 0.000
0.000 3.625 0.000
0.000 0.000 13.911
Sm Pm Cu
1 4 1
Cartesian
0.000 0.000 0.000
0.000 0.000 5.230
1.813 1.813 2.570
0.000 0.000 8.681
1.813 1.813 11.341
1.813 1.813 6.956
```

PmSm3Cu4: optimized geometry, PBE.

## Properties
- DOS(E_F): 11.2 states/eV/cell
- ΔH_f (0 K): -0.175 eV per atom

POSCAR file:
```
PmSm3Cu4
1.0
5.031 0.000 0.000
0.000 7.072 0.000
0.000 0.000 10.062
Cu Sm Pm
8 6 2
Cartesian
5.031 1.748 7.546
2.516 1.753 5.031
5.031 5.324 7.546
2.516 5.319 5.031
2.516 5.319 0.000
0.000 1.748 2.515
0.000 5.324 2.515
2.516 1.753 0.000
2.516 0.000 7.546
0.000 0.000 0.000
2.516 3.536 7.546
2.515 3.536 2.515
0.000 0.000 5.031
2.515 0.000 2.515
0.000 3.536 5.031
0.000 3.536 0.000
```

Pm2SmCu2: optimized geometry, PBE.

## Properties
- DOS(E_F): 9.8 states/eV/cell
- Polymorph energy (0 for the lowest one): 0.23 eV/f.u.
- ΔH_f (0 K): -0.054 eV per atom

POSCAR file:
```
Pm2SmCu2
1.0
4.719 0.000 0.000
0.000 5.061 -0.128
0.000 -1.527 11.010
Cu Sm Pm
4 2 4
Cartesian
3.539 0.427 3.976
3.539 3.092 -0.022
1.180 3.106 6.905
1.180 0.441 10.903
3.539 0.369 8.310
1.180 3.164 2.571
1.180 0.524 5.591
1.180 2.920 9.624
3.539 3.009 5.290
3.539 0.614 1.257
```

Pm2SmCu3: optimized geometry, PBE.

## Properties
- DOS(E_F): 7.4 states/eV/cell
- Polymorph energy (0 for the lowest one): 0.02 eV/f.u.
- ΔH_f (0 K): -0.168 eV per atom

POSCAR file:
```
Pm2SmCu3
1.0
2.506 -7.531 0.000
2.506 7.531 0.000
0.000 0.000 7.187
Cu Sm Pm
6 2 4
Cartesian
2.506 0.000 1.781
2.506 -5.008 1.774
2.506 5.008 5.413
2.506 0.000 5.406
2.506 5.008 1.774
2.506 -5.008 5.413
2.506 2.513 0.000
2.506 -2.513 0.000
0.000 0.000 0.000
2.506 2.508 3.593
2.506 -2.508 3.593
0.000 0.000 3.593
```

Pm5SmCu4: optimized geometry, PBE.

## Properties
- DOS(E_F): 8.3 states/eV/cell
- ΔH_f (0 K): -0.128 eV per atom

POSCAR file:
```
Pm5SmCu4
1.0
3.572 0.000 0.000
0.000 3.572 0.000
0.000 0.000 19.555
Pm Cu Sm
5 4 1
Cartesian
1.786 1.786 6.189
1.786 1.786 2.659
1.786 1.786 9.778
1.786 1.786 16.897
1.786 1.786 13.366
0.000 0.000 15.140
0.000 0.000 7.981
0.000 0.000 4.416
0.000 0.000 11.574
0.000 0.000 0.000
```

PmSm4Cu4: optimized geometry, PBE.

## Properties
- DOS(E_F): 22.8 states/eV/cell
- ΔH_f (0 K): -0.005 eV per atom

POSCAR file:
```
PmSm4Cu4
1.0
-5.499 -2.788 -0.023
3.840 -7.558 -1.788
0.780 -1.609 8.478
Cu Sm Pm
8 8 2
Cartesian
-0.398 -4.181 1.254
-1.855 -8.111 -0.224
-0.243 -8.213 1.746
-2.137 -4.504 4.914
1.021 -7.013 5.419
3.160 -8.131 4.605
-0.041 -1.797 2.079
-3.021 -5.871 6.874
2.850 -6.998 2.055
0.673 -2.726 4.630
-2.066 -8.246 5.722
-0.332 -4.861 7.181
0.748 -9.687 4.279
0.551 -6.538 -0.510
-3.214 -5.941 0.927
-2.723 -2.824 2.384
-0.439 -5.978 3.333
0.000 0.000 0.000
```

PmSm2Cu9: optimized geometry, PBE.

## Properties
- DOS(E_F): 7.7 states/eV/cell
- ΔH_f (0 K): -0.160 eV per atom

POSCAR file:
```
PmSm2Cu9
1.0
-1.418 -4.583 2.080
-1.828 -3.813 -3.075
6.709 -5.686 -1.383
Cu Sm Pm
9 2 1
Cartesian
0.271 -4.916 -0.755
-0.430 -7.184 0.274
3.192 -9.166 -1.622
4.509 -11.270 -2.041
4.097 -7.279 -0.100
3.894 -6.898 -2.652
-1.045 -2.812 -0.337
1.732 -7.041 -1.189
-0.634 -6.803 -2.278
3.368 -4.448 -0.932
0.096 -9.634 -1.446
0.000 0.000 0.000
```

Pm2SmCu6: optimized geometry, PBE.

## Properties
- DOS(E_F): 6.2 states/eV/cell
- Polymorph energy (0 for the lowest one): 1.34 eV/f.u.
- ΔH_f (0 K): -0.082 eV per atom

POSCAR file:
```
Pm2SmCu6
1.0
3.678 0.000 0.000
1.839 7.601 1.140
1.839 3.274 6.953
Pm Sm Cu
2 1 6
Cartesian
1.839 1.554 1.157
5.518 9.321 6.936
3.678 5.437 4.047
5.518 6.494 6.417
1.839 6.834 2.170
1.839 4.041 5.923
1.839 4.381 1.676
5.518 8.012 4.377
1.839 2.863 3.716
```

PmSm2Cu2: optimized geometry, PBE.

## Properties
- DOS(E_F): 9.1 states/eV/cell
- Polymorph energy (0 for the lowest one): 0.00 eV/f.u.
- ΔH_f (0 K): -0.106 eV per atom

POSCAR file:
```
PmSm2Cu2
1.0
-0.608 -0.837 -3.452
4.953 -1.420 -0.528
-2.862 -11.945 5.268
Pm Sm Cu
2 4 4
Cartesian
0.346 -3.839 0.865
1.137 -10.363 0.423
-0.774 -7.446 0.056
2.257 -6.756 1.232
3.417 -2.229 -0.065
-1.934 -11.973 1.353
-1.041 -9.256 2.425
2.524 -4.945 -1.137
0.650 -1.885 -1.536
0.833 -12.316 2.824
```

Pm2SmCu: optimized geometry, PBE.

## Properties
- DOS(E_F): 18.1 states/eV/cell
- Polymorph energy (0 for the lowest one): 0.00 eV/f.u.
- ΔH_f (0 K): -0.066 eV per atom

POSCAR file:
```
Pm2SmCu
1.0
-5.716 -0.395 3.207
2.564 -5.187 3.932
3.305 6.727 6.718
Pm Cu Sm
8 4 4
Cartesian
0.099 1.849 4.755
-1.166 -0.725 2.184
1.319 1.870 11.673
-0.805 4.405 10.179
-2.070 1.831 7.609
0.054 -0.704 9.103
0.958 -3.260 3.678
2.223 -0.686 6.248
-1.328 1.550 10.410
1.481 -0.405 3.447
0.634 -3.145 6.607
-0.481 4.290 7.250
1.647 2.416 8.079
4.192 -0.090 9.337
-1.495 -1.271 5.778
-4.039 1.235 4.520
```

PmSmCu4: optimized geometry, PBE.

## Properties
- DOS(E_F): 3.2 states/eV/cell
- Polymorph energy (0 for the lowest one): 0.00 eV/f.u.
- ΔH_f (0 K): -0.229 eV per atom

POSCAR file:
```
PmSmCu4
1.0
-1.827 -3.201 2.276
3.453 -4.279 0.877
0.899 0.450 5.477
Cu Pm Sm
4 1 1
Cartesian
1.912 -3.212 1.141
0.398 -0.410 3.866
0.848 -4.251 7.070
1.894 -6.188 5.186
1.035 -3.492 4.166
-0.691 -1.623 1.285
```

PmSm2Cu6: optimized geometry, PBE.

## Properties
- DOS(E_F): 3.4 states/eV/cell
- ΔH_f (0 K): -0.233 eV per atom

POSCAR file:
```
PmSm2Cu6
1.0
-1.258 -0.415 -3.446
0.156 -7.344 0.827
-6.095 3.790 1.769
Pm Sm Cu
1 2 6
Cartesian
-6.095 3.790 1.769
-4.011 0.079 1.455
-3.186 -4.048 -2.305
-4.586 -2.575 0.007
-2.507 -6.287 -0.306
-6.620 -1.311 0.597
-0.577 -2.659 -1.447
-4.690 2.317 -0.545
-2.611 -1.394 -0.857
```